*one*
Crystalline BaTcSe2 at its relaxed geometry. Source: Alexandria via LeMat-Bulk, functional PBE-GGA.

It has space group P2/m (No. 10), with a = 4.296 Å, b = 3.815 Å, c = 7.028 Å, α = 90.00°, β = 90.75° and γ = 90.00°. The asymmetric unit holds Ba at (0.000, 0.000, 0.000), Tc at (0.500, 0.000, 0.500) and Se at (0.493, 0.500, 0.744).

The calculation puts the density at 5.7 g/cm3. For the size of the total moment, the calculation gives 3.0 μB per formula unit.

---

*two*
Crystalline BaTcSe2 at its relaxed geometry. Source: Alexandria via LeMat-Bulk, functional PBE-GGA.

It has space group P4mm (No. 99), with a = 4.036 Å, b = 4.036 Å, c = 7.247 Å, α = 90.00°, β = 90.00° and γ = 90.00°. The asymmetric unit holds Ba at (0.000, 0.000, 0.000), Tc at (0.500, 0.500, 0.528), Se at (0.000, 0.000, 0.554) and Se at (0.500, 0.500, 0.177).

The calculation puts the density at 5.5 g/cm3. For the size of the total moment, the calculation gives 4.2 μB per formula unit.

---

The least stable of them is *two*.

---

*one*
Crystalline BaTcSe3 at its relaxed geometry. Source: Alexandria via LeMat-Bulk, functional PBE-GGA.

It has space group Pm-3m (No. 221), with a = 5.914 Å, b = 5.914 Å, c = 5.914 Å, α = 90.00°, β = 90.00° and γ = 90.00°. The asymmetric unit holds Ba at (0.000, 0.000, 0.000), Tc at (0.500, 0.500, 0.500) and Se at (0.000, 0.000, 0.500).

The calculation puts the density at 3.8 g/cm3. For the size of the total moment, the calculation gives 5.1 μB per formula unit.

---

*two*
Crystalline BaTcSe3 at its relaxed geometry. Source: Alexandria via LeMat-Bulk, functional PBE-GGA.

It has space group Pm-3m (No. 221), with a = 5.103 Å, b = 5.103 Å, c = 5.103 Å, α = 90.00°, β = 90.00° and γ = 90.00°. The asymmetric unit holds Ba at (0.000, 0.000, 0.000), Tc at (0.500, 0.500, 0.500) and Se at (0.000, 0.500, 0.500).

The calculation puts the density at 5.9 g/cm3. For the size of the total moment, the calculation gives 3.1 μB per formula unit.

---

The least stable of them is *one*.

---

*one*
Crystalline Ba2TeSe at its relaxed geometry. Source: Alexandria via LeMat-Bulk, functional PBE-GGA.

It has space group P2/m (No. 10), with a = 4.137 Å, b = 4.137 Å, c = 8.287 Å, α = 90.00°, β = 90.30° and γ = 90.00°. The asymmetric unit holds Ba at (0.004, 0.000, 0.261), Te at (0.500, 0.500, 0.000) and Se at (0.500, 0.500, 0.500).

The calculation puts the density at 5.6 g/cm3. For the size of the total moment, the calculation gives 0.0 μB per formula unit.

---

*two*
Crystalline Ba2TeSe at its relaxed geometry. Source: Alexandria via LeMat-Bulk, functional PBE-GGA.

It has space group F-43m (No. 216), with a = 8.182 Å, b = 8.182 Å, c = 8.182 Å, α = 90.00°, β = 90.00° and γ = 90.00°. The asymmetric unit holds Ba at (0.000, 0.000, 0.000), Ba at (0.250, 0.250, 0.250), Te at (0.250, 0.250, 0.750) and Se at (0.000, 0.000, 0.500).

The calculation puts the density at 5.8 g/cm3. For the size of the total moment, the calculation gives 0.0 μB per formula unit.

---

The least stable of them is *two*.

---

*one*
Crystalline Ba2TeSe at its relaxed geometry. Source: Alexandria via LeMat-Bulk, functional PBE-GGA.

It has space group Amm2 (No. 38), with a = 5.178 Å, b = 4.517 Å, c = 13.427 Å, α = 90.00°, β = 90.00° and γ = 90.00°. The asymmetric unit holds Ba at (0.000, 0.000, 0.000), Ba at (0.500, 0.000, 0.253), Te at (0.500, 0.000, 0.519) and Se at (0.000, 0.000, 0.763).

The calculation puts the density at 5.1 g/cm3. For the size of the total moment, the calculation gives 0.0 μB per formula unit.

---

*two*
Crystalline Ba2TeSe at its relaxed geometry. Source: Alexandria via LeMat-Bulk, functional PBE-GGA.

It has space group C2/m (No. 12), with a = 8.410 Å, b = 4.861 Å, c = 8.455 Å, α = 90.00°, β = 109.41° and γ = 90.00°. The asymmetric unit holds Ba at (0.245, 0.000, 0.236), Te at (0.000, 0.000, 0.500) and Se at (0.000, 0.500, 0.000).

The calculation puts the density at 4.9 g/cm3. For the size of the total moment, the calculation gives 0.0 μB per formula unit.

---

*three*
Crystalline Ba2TeSe at its relaxed geometry. Source: Alexandria via LeMat-Bulk, functional PBE-GGA.

It has space group P4/mmm (No. 123), with a = 5.862 Å, b = 5.862 Å, c = 4.152 Å, α = 90.00°, β = 90.00° and γ = 90.00°. The asymmetric unit holds Ba at (0.000, 0.500, 0.000), Te at (0.000, 0.000, 0.500) and Se at (0.500, 0.500, 0.500).

The calculation puts the density at 5.6 g/cm3. For the size of the total moment, the calculation gives 0.0 μB per formula unit.

---

The least stable of them is *three*.

---

*one*
Crystalline Ba2TeSe at its relaxed geometry. Source: Alexandria via LeMat-Bulk, functional PBE-GGA.

It has space group Fm-3m (No. 225), with a = 8.294 Å, b = 8.294 Å, c = 8.294 Å, α = 90.00°, β = 90.00° and γ = 90.00°. The asymmetric unit holds Ba at (0.250, 0.250, 0.250), Te at (0.000, 0.000, 0.000) and Se at (0.000, 0.000, 0.500).

The calculation puts the density at 5.6 g/cm3. For the size of the total moment, the calculation gives 0.0 μB per formula unit.

---

*two*
Crystalline Ba2TeSe at its relaxed geometry. Source: Alexandria via LeMat-Bulk, functional PBE-GGA.

It has space group I-42d (No. 122), with a = 7.705 Å, b = 7.705 Å, c = 14.725 Å, α = 90.00°, β = 90.00° and γ = 90.00°. The asymmetric unit holds Ba at (0.226, 0.250, 0.125), Te at (0.000, 0.000, 0.500) and Se at (0.000, 0.000, 0.000).

The calculation puts the density at 3.7 g/cm3. For the size of the total moment, the calculation gives 0.0 μB per formula unit.

---

*three*
Crystalline Ba2TeSe at its relaxed geometry. Source: Alexandria via LeMat-Bulk, functional PBE-GGA.

It has space group P4/mmm (No. 123), with a = 4.879 Å, b = 4.879 Å, c = 6.904 Å, α = 90.00°, β = 90.00° and γ = 90.00°. The asymmetric unit holds Ba at (0.000, 0.000, 0.000), Ba at (0.500, 0.500, 0.500), Te at (0.000, 0.000, 0.500) and Se at (0.500, 0.500, 0.000).

The calculation puts the density at 4.9 g/cm3. For the size of the total moment, the calculation gives 0.0 μB per formula unit.

---

The least stable of them is *two*.

---

*one*
Crystalline Ba2TeSe at its relaxed geometry. Source: Alexandria via LeMat-Bulk, functional PBE-GGA.

It has space group I-4m2 (No. 119), with a = 4.744 Å, b = 4.744 Å, c = 14.128 Å, α = 90.00°, β = 90.00° and γ = 90.00°. The asymmetric unit holds Ba at (0.000, 0.000, 0.000), Ba at (0.000, 0.500, 0.250), Te at (0.000, 0.000, 0.500) and Se at (0.000, 0.500, 0.750).

The calculation puts the density at 5.0 g/cm3. For the size of the total moment, the calculation gives 0.0 μB per formula unit.

---

*two*
Crystalline Ba2TeSe at its relaxed geometry. Source: Alexandria via LeMat-Bulk, functional PBE-GGA.

It has space group R3m (No. 160, hexagonal axes), with a = 4.7489 Å, b = 4.7489 Å, c = 25.1090 Å, α = 90.00°, β = 90.00° and γ = 120.00°. The asymmetric unit holds Ba at (0.0000, 0.0000, 0.0000), Ba at (0.0000, 0.0000, 0.1608), Te at (0.0000, 0.0000, 0.5808) and Se at (0.0000, 0.0000, 0.4126).

The calculation puts the density at 4.9 g/cm3. For the size of the total moment, the calculation gives 0.0 μB per formula unit.

---

The least stable of them is *one*.

---

*one*
Crystalline BaThSe3 at its relaxed geometry. Source: Alexandria via LeMat-Bulk, functional PBE-GGA.

It has space group C2/m (No. 12), with a = 15.799 Å, b = 5.414 Å, c = 8.875 Å, α = 90.00°, β = 96.09° and γ = 90.00°. The asymmetric unit holds Ba at (0.138, 0.000, 0.371), Th at (0.129, 0.500, 0.915), Se at (0.049, 0.500, 0.198), Se at (0.161, 0.500, 0.606) and Se at (0.176, 0.000, 0.001).

The calculation puts the density at 5.3 g/cm3. For the size of the total moment, the calculation gives 0.0 μB per formula unit.

---

*two*
Crystalline BaThSe3 at its relaxed geometry. Source: Alexandria via LeMat-Bulk, functional PBE-GGA.

It has space group Pm-3m (No. 221), with a = 5.665 Å, b = 5.665 Å, c = 5.665 Å, α = 90.00°, β = 90.00° and γ = 90.00°. The asymmetric unit holds Ba at (0.000, 0.000, 0.000), Th at (0.500, 0.500, 0.500) and Se at (0.000, 0.500, 0.500).

The calculation puts the density at 5.5 g/cm3. For the size of the total moment, the calculation gives 0.0 μB per formula unit.

---

*three*
Crystalline BaThSe3 at its relaxed geometry. Source: Alexandria via LeMat-Bulk, functional PBE-GGA.

It has space group Pnma (No. 62), with a = 8.067 Å, b = 4.508 Å, c = 17.245 Å, α = 90.00°, β = 90.00° and γ = 90.00°. The asymmetric unit holds Ba at (0.134, 0.250, 0.202), Th at (0.236, 0.750, 0.457), Se at (0.013, 0.250, 0.408), Se at (0.128, 0.750, 0.050) and Se at (0.166, 0.250, 0.797).

The calculation puts the density at 6.4 g/cm3. For the size of the total moment, the calculation gives 0.0 μB per formula unit.

---

The least stable of them is *two*.

---

*one*
Crystalline Ba2Th3Se8 at its relaxed geometry. Source: Alexandria via LeMat-Bulk, functional PBE-GGA.

It has space group P2/m (No. 10), with a = 9.526 Å, b = 4.958 Å, c = 9.551 Å, α = 90.00°, β = 111.32° and γ = 90.00°. The asymmetric unit holds Ba at (0.237, 0.000, 0.262), Th at (0.212, 0.500, 0.711), Th at (0.500, 0.000, 0.000), Se at (0.112, 0.500, 0.388), Se at (0.155, 0.000, 0.873), Se at (0.373, 0.000, 0.655) and Se at (0.394, 0.500, 0.107).

The calculation puts the density at 6.3 g/cm3. For the size of the total moment, the calculation gives 0.0 μB per formula unit.

---

*two*
Crystalline Ba2Th3Se8 at its relaxed geometry. Source: Alexandria via LeMat-Bulk, functional PBE-GGA.

It has space group C2/m (No. 12), with a = 15.668 Å, b = 8.844 Å, c = 7.463 Å, α = 90.00°, β = 109.77° and γ = 90.00°. The asymmetric unit holds Ba at (0.228, 0.000, 0.158), Th at (0.000, 0.240, 0.500), Th at (0.000, 0.500, 0.000), Se at (0.104, 0.500, 0.409), Se at (0.111, 0.276, 0.898) and Se at (0.113, 0.000, 0.455).

The calculation puts the density at 5.5 g/cm3. For the size of the total moment, the calculation gives 0.0 μB per formula unit.

---

The least stable of them is *one*.

---

*one*
Crystalline BaTiSe2 at its relaxed geometry. Source: Alexandria via LeMat-Bulk, functional PBE-GGA.

It has space group R-3m (No. 166, hexagonal axes), with a = 3.8574 Å, b = 3.8574 Å, c = 27.7954 Å, α = 90.00°, β = 90.00° and γ = 120.00°. The asymmetric unit holds Ba at (0.0000, 0.0000, 0.0000), Ti at (0.0000, 0.0000, 0.5000) and Se at (0.0000, 0.0000, 0.1150).

The calculation puts the density at 4.8 g/cm3. For the size of the total moment, the calculation gives 1.1 μB per formula unit.

---

*two*
Crystalline BaTiSe2 at its relaxed geometry. Source: Alexandria via LeMat-Bulk, functional PBE-GGA.

It has space group Fm-3m (No. 225), with a = 7.376 Å, b = 7.376 Å, c = 7.376 Å, α = 90.00°, β = 90.00° and γ = 90.00°. The asymmetric unit holds Ba at (0.000, 0.000, 0.000), Ti at (0.000, 0.000, 0.500) and Se at (0.250, 0.250, 0.250).

The calculation puts the density at 5.7 g/cm3. For the size of the total moment, the calculation gives 2.0 μB per formula unit.

---

The least stable of them is *one*.

---

*one*
Crystalline Ba3TlSe4 at its relaxed geometry. Source: Alexandria via LeMat-Bulk, functional PBE-GGA.

It has space group Pmn2_1 (No. 31), with a = 11.037 Å, b = 9.566 Å, c = 6.564 Å, α = 90.00°, β = 90.00° and γ = 90.00°. The asymmetric unit holds Ba at (0.000, 0.150, 0.000), Ba at (0.247, 0.331, 0.500), Tl at (0.000, 0.825, 0.475), Se at (0.000, 0.146, 0.501), Se at (0.000, 0.821, 0.022) and Se at (0.246, 0.673, 0.501).

The calculation puts the density at 4.5 g/cm3. For the size of the total moment, the calculation gives 0.0 μB per formula unit.

---

*two*
Crystalline Ba3TlSe4 at its relaxed geometry. Source: Alexandria via LeMat-Bulk, functional PBE-GGA.

It has space group P4/mmm (No. 123), with a = 4.652 Å, b = 4.652 Å, c = 13.230 Å, α = 90.00°, β = 90.00° and γ = 90.00°. The asymmetric unit holds Ba at (0.000, 0.000, 0.000), Ba at (0.500, 0.500, 0.255), Tl at (0.000, 0.000, 0.500), Se at (0.000, 0.000, 0.253), Se at (0.500, 0.500, 0.000) and Se at (0.500, 0.500, 0.500).

The calculation puts the density at 5.4 g/cm3. For the size of the total moment, the calculation gives 0.0 μB per formula unit.

---

The least stable of them is *one*.

---

*one*
Crystalline BaTmSe2 at its relaxed geometry. Source: Alexandria via LeMat-Bulk, functional PBE-GGA.

It has space group R-3m (No. 166, hexagonal axes), with a = 4.2347 Å, b = 4.2347 Å, c = 22.1997 Å, α = 90.00°, β = 90.00° and γ = 120.00°. The asymmetric unit holds Ba at (0.0000, 0.0000, 0.0000), Tm at (0.0000, 0.0000, 0.5000) and Se at (0.0000, 0.0000, 0.2357).

The calculation puts the density at 6.7 g/cm3. For the size of the total moment, the calculation gives 0.0 μB per formula unit.

---

*two*
Crystalline BaTmSe2 at its relaxed geometry. Source: Alexandria via LeMat-Bulk, functional PBE-GGA.

It has space group R3m (No. 160, hexagonal axes), with a = 4.1715 Å, b = 4.1715 Å, c = 23.1294 Å, α = 90.00°, β = 90.00° and γ = 120.00°. The asymmetric unit holds Ba at (0.0000, 0.0000, 0.0000), Tm at (0.0000, 0.0000, 0.8275), Se at (0.0000, 0.0000, 0.2312) and Se at (0.0000, 0.0000, 0.4281).

The calculation puts the density at 6.6 g/cm3. For the size of the total moment, the calculation gives 0.3 μB per formula unit.

---

The least stable of them is *two*.